Entry 1:
The following is a DFT calculation (PBEsol) of a geometry-optimized BeNi2As structure.

a = 3.6217 Å, b = 3.6217 Å, c = 3.2644 Å
α = 90.00°, β = 90.00°, γ = 90.00°
With the nearest neighbours (Å) after each atom.
Fractional coordinates of all 4 atoms:
Be 0.0000 0.0000 0.0000  8 Ni 2.44, 4 As 2.56
Ni 0.0000 0.5000 0.5000  4 As 2.44, 4 Be 2.44, 4 Ni 2.56
Ni 0.5000 0.0000 0.5000  4 As 2.44, 4 Be 2.44, 4 Ni 2.56
As 0.5000 0.5000 0.0000  8 Ni 2.44, 4 Be 2.56

Calculated values
ΔH_f (0 K), meV/atom: -223
Size of the total moment, Bohr magnetons per cell: 0.00
Space-group type: No. 123



Entry 2:
The following is a DFT calculation (PBEsol) of a geometry-optimized Tc3PbN structure.

a = 5.1204 Å, b = 5.1204 Å, c = 5.1204 Å
α = 90.00°, β = 90.00°, γ = 90.00°
With the nearest neighbours (Å) after each atom.
Fractional coordinates of all 5 atoms:
Tc 0.0000 0.0000 0.5000  2 Pb 2.56
Tc 0.0000 0.5000 0.0000  2 Pb 2.56
Tc 0.5000 0.0000 0.0000  2 Pb 2.56
Pb 0.0000 0.0000 0.0000  6 Tc 2.56
N 0.5000 0.5000 0.5000  12 Tc 3.62

Calculated values
ΔE_f (raw), eV/atom: 3.873
Size of the total moment, Bohr magnetons per cell: 11.24
Space-group type: No. 221



Entry 3:
The following is a DFT calculation (PBEsol) of a geometry-optimized CaOsSe2 structure.

a = 3.4915 Å, b = 3.6621 Å, c = 12.1482 Å
α = 90.00°, β = 90.00°, γ = 90.00°
With the nearest neighbours (Å) after each atom.
Fractional coordinates of all 8 atoms:
Ca 0.0000 0.0000 0.0000  6 Se 2.84
Ca 0.5000 0.5000 0.5000  6 Se 2.84
Os 0.0000 0.5000 0.2475  6 Se 2.45-2.68
Os 0.5000 0.0000 0.7475  6 Se 2.45-2.68
Se 0.0000 0.0000 0.6059  2 Os 2.45
Se 0.0000 0.5000 0.8213  4 Os 2.68, 2 Ca 2.84
Se 0.5000 0.0000 0.3213  4 Os 2.68, 2 Ca 2.84
Se 0.5000 0.5000 0.1059  2 Os 2.45

Calculated values
ΔE_f (raw), eV/atom: -0.327
Size of the total moment, Bohr magnetons per cell: 0.00
Distance to the lowest polymorph of the same formula, meV/atom: 354.8
Space-group type: No. 44



Entry 4:
The following is a DFT calculation (PBEsol) of a geometry-optimized Ca3Mg structure.

a = 6.5866 Å, b = 6.5866 Å, c = 6.5866 Å
α = 90.00°, β = 90.00°, γ = 90.00°
With the nearest neighbours (Å) after each atom.
Fractional coordinates of all 8 atoms:
Ca 0.0000 0.2500 0.5000  2 Ca 3.29, 4 Mg 3.68
Ca 0.0000 0.7500 0.5000  2 Ca 3.29, 4 Mg 3.68
Ca 0.2500 0.5000 0.0000  2 Ca 3.29, 4 Mg 3.68
Ca 0.5000 0.0000 0.2500  2 Ca 3.29, 4 Mg 3.68
Ca 0.5000 0.0000 0.7500  2 Ca 3.29, 4 Mg 3.68
Ca 0.7500 0.5000 0.0000  2 Ca 3.29, 4 Mg 3.68
Mg 0.0000 0.0000 0.0000  12 Ca 3.68
Mg 0.5000 0.5000 0.5000  12 Ca 3.68

Calculated values
ΔH_f (0 K), meV/atom: 38
Size of the total moment, Bohr magnetons per cell: 0.00
Space-group type: No. 223



Entry 5:
The following is a DFT calculation (PBEsol) of a geometry-optimized Na2NbIr structure.

a = 8.4256 Å, b = 8.4256 Å, c = 4.9081 Å
α = 90.00°, β = 90.00°, γ = 90.00°
With the nearest neighbours (Å) after each atom.
Fractional coordinates of all 16 atoms:
Na 0.2071 0.2500 0.1250  2 Na 2.56, 2 Ir 2.80
Na 0.2500 0.7071 0.3750  2 Na 2.56, 2 Ir 2.80
Na 0.2500 0.7929 0.8750  2 Na 2.56, 2 Ir 2.80
Na 0.2929 0.2500 0.6250  2 Na 2.56, 2 Ir 2.80
Na 0.7071 0.7500 0.6250  2 Na 2.56, 2 Ir 2.80
Na 0.7500 0.2071 0.8750  2 Na 2.56, 2 Ir 2.80
Na 0.7500 0.2929 0.3750  2 Na 2.56, 2 Ir 2.80
Na 0.7929 0.7500 0.1250  2 Na 2.56, 2 Ir 2.80
Nb 0.0000 0.0000 0.5000  2 Ir 2.45
Nb 0.0000 0.5000 0.7500  2 Ir 2.45
Nb 0.5000 0.0000 0.2500  2 Ir 2.45
Nb 0.5000 0.5000 0.0000  2 Ir 2.45
Ir 0.0000 0.0000 0.0000  2 Nb 2.45
Ir 0.0000 0.5000 0.2500  2 Nb 2.45
Ir 0.5000 0.0000 0.7500  2 Nb 2.45
Ir 0.5000 0.5000 0.5000  2 Nb 2.45

Calculated values
ΔH_f (0 K), meV/atom: 1158
Size of the total moment, Bohr magnetons per cell: 6.95
Space-group type: No. 122



Entry 6:
The following is a DFT calculation (PBEsol) of a geometry-optimized K2Ir2Pb structure.

a = 3.4964 Å, b = 3.4964 Å, c = 22.9703 Å
α = 90.00°, β = 90.00°, γ = 90.00°
With the nearest neighbours (Å) after each atom.
Fractional coordinates of all 10 atoms:
K 0.0000 0.0000 0.1259  4 Ir 3.34, 4 K 3.50
K 0.0000 0.0000 0.8741  4 Ir 3.34, 4 K 3.50
K 0.5000 0.5000 0.3741  4 Ir 3.34, 4 K 3.50
K 0.5000 0.5000 0.6259  4 Ir 3.34, 4 K 3.50
Ir 0.0000 0.5000 0.2500  4 Ir 2.47
Ir 0.0000 0.5000 0.7500  4 Ir 2.47
Ir 0.5000 0.0000 0.2500  4 Ir 2.47
Ir 0.5000 0.0000 0.7500  4 Ir 2.47
Pb 0.0000 0.0000 0.5000  4 Pb 3.50, 8 K 3.80
Pb 0.5000 0.5000 0.0000  4 Pb 3.50, 8 K 3.80

Calculated values
ΔH_f (0 K), meV/atom: 443
Size of the total moment, Bohr magnetons per cell: 0.00
Space-group type: No. 139



Entry 7:
The following is a DFT calculation (PBEsol) of a geometry-optimized Tl2SbMo structure.

a = 5.8645 Å, b = 10.7792 Å, c = 3.4628 Å
α = 90.00°, β = 125.07°, γ = 90.00°
With the nearest neighbours (Å) after each atom.
Fractional coordinates of all 8 atoms:
Tl 0.2500 0.2500 0.0000  4 Tl 2.93-2.99, 2 Mo 3.08, 2 Sb 3.08
Tl 0.2500 0.7500 0.0000  4 Tl 2.93-2.99, 2 Mo 3.08, 2 Sb 3.08
Tl 0.7500 0.2500 0.0000  4 Tl 2.93-2.99, 2 Mo 3.08, 2 Sb 3.08
Tl 0.7500 0.7500 0.0000  4 Tl 2.93-2.99, 2 Mo 3.08, 2 Sb 3.08
Sb 0.0000 0.0000 0.5000  4 Mo 2.93-2.99, 4 Tl 3.08
Sb 0.5000 0.5000 0.5000  4 Mo 2.93-2.99, 4 Tl 3.08
Mo 0.0000 0.5000 0.5000  4 Sb 2.93-2.99, 4 Tl 3.08
Mo 0.5000 0.0000 0.5000  4 Sb 2.93-2.99, 4 Tl 3.08

Calculated values
ΔE_f (raw), eV/atom: 0.684
Size of the total moment, Bohr magnetons per cell: 1.93
Distance to the lowest polymorph of the same formula, meV/atom: 379.2
Space-group type: No. 12



Entry 8:
The following is a DFT calculation (PBEsol) of a geometry-optimized Ti7Sn3O20 structure.

a = 4.6539 Å, b = 4.6539 Å, c = 15.1399 Å
α = 90.00°, β = 90.00°, γ = 90.02°
With the nearest neighbours (Å) after each atom.
Fractional coordinates of all 30 atoms:
Ti 0.0000 0.0000 0.0000  6 O 1.95-2.01
Ti 0.0000 0.0000 0.4005  6 O 1.95-1.97
Ti 0.0000 0.0000 0.5995  6 O 1.95-1.97
Ti 0.5000 0.5000 0.0968  6 O 1.95-1.98
Ti 0.5000 0.5000 0.2980  6 O 1.95-1.98
Ti 0.5000 0.5000 0.7020  6 O 1.95-1.98
Ti 0.5000 0.5000 0.9032  6 O 1.95-1.98
Sn 0.0000 0.0000 0.2000  6 O 2.06-2.07
Sn 0.0000 0.0000 0.8000  6 O 2.06-2.07
Sn 0.5000 0.5000 0.5000  6 O 2.06-2.07
O 0.1874 0.8126 0.5000  2 Ti 1.95, 1 Sn 2.06
O 0.2000 0.8000 0.0946  2 Ti 1.95-1.98, 1 Sn 2.07
O 0.2000 0.8000 0.9054  2 Ti 1.95-1.98, 1 Sn 2.07
O 0.2011 0.7989 0.3041  2 Ti 1.97, 1 Sn 2.06
O 0.2011 0.7989 0.6959  2 Ti 1.97, 1 Sn 2.06
O 0.2994 0.2994 0.3951  2 Ti 1.97-1.98, 1 Sn 2.07
O 0.2994 0.2994 0.6049  2 Ti 1.97-1.98, 1 Sn 2.07
O 0.3055 0.3055 0.0000  3 Ti 1.95-2.01
O 0.3126 0.3126 0.1983  2 Ti 1.95-1.97, 1 Sn 2.06
O 0.3126 0.3126 0.8017  2 Ti 1.95-1.97, 1 Sn 2.06
O 0.6874 0.6874 0.1983  2 Ti 1.95-1.97, 1 Sn 2.06
O 0.6874 0.6874 0.8017  2 Ti 1.95-1.97, 1 Sn 2.06
O 0.6945 0.6945 0.0000  3 Ti 1.95-2.01
O 0.7006 0.7006 0.3951  2 Ti 1.97-1.98, 1 Sn 2.07
O 0.7006 0.7006 0.6049  2 Ti 1.97-1.98, 1 Sn 2.07
O 0.7989 0.2011 0.3041  2 Ti 1.97, 1 Sn 2.06
O 0.7989 0.2011 0.6959  2 Ti 1.97, 1 Sn 2.06
O 0.8000 0.2000 0.0946  2 Ti 1.95-1.98, 1 Sn 2.07
O 0.8000 0.2000 0.9054  2 Ti 1.95-1.98, 1 Sn 2.07
O 0.8126 0.1874 0.5000  2 Ti 1.95, 1 Sn 2.06

Calculated values
ΔE_f (raw), eV/atom: -2.607
Size of the total moment, Bohr magnetons per cell: 0.00
Space-group type: No. 65



Entry 9:
The following is a DFT calculation (PBEsol) of a geometry-optimized FeSiP2 structure.

a = 4.0357 Å, b = 3.8834 Å, c = 7.0987 Å
α = 90.00°, β = 90.00°, γ = 90.00°
With the nearest neighbours (Å) after each atom.
Fractional coordinates of all 8 atoms:
Fe 0.0000 0.0000 0.0000  4 P 2.21-2.33, 2 Si 2.32
Fe 0.0000 0.5000 0.5000  4 P 2.21-2.33, 2 Si 2.32
Si 0.5000 0.0000 0.1615  5 P 2.30-2.42, 2 Fe 2.32
Si 0.5000 0.5000 0.6615  5 P 2.30-2.42, 2 Fe 2.32
P 0.0000 0.0000 0.3503  2 Fe 2.21, 2 Si 2.42
P 0.0000 0.5000 0.8503  2 Fe 2.21, 2 Si 2.42
P 0.5000 0.0000 0.8363  3 Si 2.30-2.31, 2 Fe 2.33
P 0.5000 0.5000 0.3363  3 Si 2.30-2.31, 2 Fe 2.33

Calculated values
ΔE_f (raw), eV/atom: -0.145
Size of the total moment, Bohr magnetons per cell: 0.00
Space-group type: No. 38



Entry 10:
The following is a DFT calculation (PBEsol) of a geometry-optimized Tb3Er structure.

a = 4.9002 Å, b = 4.9002 Å, c = 9.8002 Å
α = 90.00°, β = 90.00°, γ = 90.00°
With the nearest neighbours (Å) after each atom.
Fractional coordinates of all 8 atoms:
Tb 0.0000 0.0000 0.0000  8 Tb 3.46, 4 Er 3.46
Tb 0.0000 0.5000 0.2500  8 Tb 3.46, 4 Er 3.46
Tb 0.0000 0.5000 0.7500  8 Tb 3.46, 4 Er 3.46
Tb 0.5000 0.0000 0.2500  8 Tb 3.46, 4 Er 3.46
Tb 0.5000 0.0000 0.7500  8 Tb 3.46, 4 Er 3.46
Tb 0.5000 0.5000 0.5000  8 Tb 3.46, 4 Er 3.46
Er 0.0000 0.0000 0.5000  12 Tb 3.46
Er 0.5000 0.5000 0.0000  12 Tb 3.46

Calculated values
ΔH_f (0 K), meV/atom: 13
Size of the total moment, Bohr magnetons per cell: 0.00
Space-group type: No. 139



Entry 11:
The following is a DFT calculation (PBEsol) of a geometry-optimized Ca3CrAg structure.

a = 5.5217 Å, b = 5.5217 Å, c = 5.5217 Å
α = 90.00°, β = 90.00°, γ = 90.00°
With the nearest neighbours (Å) after each atom.
Fractional coordinates of all 5 atoms:
Ca 0.0000 0.0000 0.5000  2 Cr 2.76
Ca 0.0000 0.5000 0.0000  2 Cr 2.76
Ca 0.5000 0.0000 0.0000  2 Cr 2.76
Cr 0.0000 0.0000 0.0000  6 Ca 2.76
Ag 0.5000 0.5000 0.5000  12 Ca 3.90

Calculated values
ΔH_f (0 K), meV/atom: 770
Size of the total moment, Bohr magnetons per cell: 4.03
Space-group type: No. 221



Entry 12:
The following is a DFT calculation (PBEsol) of a geometry-optimized LaAlBr2 structure.

a = 3.8803 Å, b = 3.8803 Å, c = 29.5006 Å
α = 90.00°, β = 90.00°, γ = 120.00°
With the nearest neighbours (Å) after each atom.
Fractional coordinates of all 12 atoms:
La 0.0000 0.0000 0.0000  2 Br 2.88
La 0.3333 0.6667 0.6667  2 Br 2.88
La 0.6667 0.3333 0.3333  2 Br 2.88
Al 0.0000 0.0000 0.5000  6 Br 3.03
Al 0.3333 0.6667 0.1667  6 Br 3.03
Al 0.6667 0.3333 0.8333  6 Br 3.03
Br 0.0000 0.0000 0.0975  1 La 2.88, 3 Al 3.03
Br 0.0000 0.0000 0.9025  1 La 2.88, 3 Al 3.03
Br 0.3333 0.6667 0.5692  1 La 2.88, 3 Al 3.03
Br 0.3333 0.6667 0.7642  1 La 2.88, 3 Al 3.03
Br 0.6667 0.3333 0.2358  1 La 2.88, 3 Al 3.03
Br 0.6667 0.3333 0.4308  1 La 2.88, 3 Al 3.03

Calculated values
ΔE_f (raw), eV/atom: -0.484
Size of the total moment, Bohr magnetons per cell: 0.01
Distance to the lowest polymorph of the same formula, meV/atom: 381.6
Space-group type: No. 166